*one*
This record from the Alexandria database describes a geometry-optimized CaNbPS2 structure. The functional is PBE.

Cell and atoms, written as extended XYZ:
```
5
Lattice="5.0042 0.0000 0.0000 0.0000 5.0042 0.0000 0.0000 0.0000 5.0145" Properties=species:S:1:pos:R:3 pbc="T T T"
Nb 2.5021 2.5021 2.5072
S 0.0000 2.5021 0.0000
S 2.5021 0.0000 0.0000
Ca 0.0000 0.0000 0.0000
P 0.0000 0.0000 2.5072
```

Computed properties:
Fermi-level density of states = 5.44 states/eV/f.u.
V = 25.1 A^3/atom
space-group type = P4/mmm, No. 123

---

*two*
This record from the Alexandria database describes a geometry-optimized CaNbPS2 structure. The functional is PBE.

Cell and atoms, written as extended XYZ:
```
5
Lattice="-1.4298 -1.8186 -4.2404 -1.1182 -4.1705 2.1656 -4.5244 1.6400 0.8222" Properties=species:S:1:pos:R:3 pbc="T T T"
P -2.2622 0.8200 0.4111
S -0.7149 -0.9093 -2.1202
S -0.5591 -2.0852 1.0828
Ca -3.5362 -2.1745 -0.6263
Nb 0.0000 0.0000 0.0000
```

Computed properties:
Fermi-level density of states = 3.27 states/eV/f.u.
V = 22.8 A^3/atom
space-group type = P4/mmm, No. 123

---

*two* has the most favorable energy; the next structure is 1.607 eV/atom above.